# 1
Material: Li4Zn2SnPb
Method: DFT, GGA-PBE
State: optimized geometry

Cell and atoms, written as POSCAR:
```
Li4Zn2SnPb
1.0
4.615 0.000 0.000
0.000 4.615 0.000
0.000 0.000 6.555
Li Zn Pb Sn
4 2 1 1
Cartesian
2.308 2.308 0.000
2.308 0.000 1.659
0.000 2.308 4.896
0.000 0.000 3.278
2.308 0.000 4.867
0.000 2.308 1.688
0.000 0.000 0.000
2.308 2.308 3.278
```

# 2
Material: Dy3Mg2Al2CdIn
Method: DFT, GGA-PBE
State: optimized geometry

Cell and atoms, written as POSCAR:
```
Dy3Mg2Al2CdIn
1.0
-3.909 -1.135 2.138
2.806 -6.626 1.613
0.887 5.669 4.631
Mg In Dy Cd Al
2 1 3 1 2
Cartesian
2.126 -4.998 1.234
0.679 4.271 3.509
1.729 -1.521 7.296
0.159 2.197 6.399
1.236 -4.705 4.705
0.109 -1.102 4.557
0.929 -0.241 1.571
2.161 -2.526 2.609
1.521 1.572 3.615
```

Values from the calculation:
* spin magnetization: 0.003 Bohr magnetons per cell

# 3
Material: TlMo4PN2
Method: DFT, GGA-PBE
State: optimized geometry

Cell and atoms, written as POSCAR:
```
TlMo4PN2
1.0
-0.460 0.448 -2.981
2.785 -0.703 1.024
-2.735 -13.079 -1.542
Mo N P Tl
4 2 1 1
Cartesian
-1.720 -8.227 -0.970
-1.616 -10.637 -2.908
0.124 -2.314 -1.926
-1.014 -4.851 -0.572
0.964 -3.855 -0.728
-0.292 -9.863 -1.436
-0.746 -6.475 -2.417
0.000 0.000 0.000
```

Values from the calculation:
* spin magnetization: 0.013 Bohr magnetons per cell

# 4
Material: MgNbCd
Method: DFT, GGA-PBE
State: optimized geometry

Cell and atoms, written as POSCAR:
```
MgNbCd
1.0
2.328 1.344 3.802
-2.328 1.344 3.802
0.000 -2.689 3.802
Mg Nb Cd
1 1 1
Cartesian
0.000 0.000 8.555
0.000 0.000 0.000
0.000 0.000 2.852
```

Values from the calculation:
* spin magnetization: 0.165 Bohr magnetons per cell

# 5
Material: InAgNO
Method: DFT, GGA-PBE
State: optimized geometry

Cell and atoms, written as POSCAR:
```
InAgNO
1.0
-1.811 -3.136 0.000
0.000 0.000 5.550
-5.423 3.131 0.000
O In Ag N
2 2 2 2
Cartesian
-1.811 -1.045 2.080
-5.423 1.040 4.855
-5.499 1.084 2.746
-1.735 -1.089 5.521
-3.290 1.900 0.070
-2.133 1.232 2.844
-3.841 2.218 2.064
-1.583 0.914 4.838
```

Values from the calculation:
* energy above the lowest structure with this stoichiometry: 2.7 kJ/mol of atoms

# 6
Material: InTe5Pd3
Method: DFT, GGA-PBE
State: optimized geometry

Cell and atoms, written as POSCAR:
```
InTe5Pd3
1.0
-2.395 4.442 3.059
-0.522 -5.545 1.951
6.583 0.790 4.008
Te Pd In
5 3 1
Cartesian
3.965 -1.603 5.433
3.292 0.395 2.004
-0.300 1.290 3.585
3.341 1.726 5.802
0.324 -2.040 3.216
3.030 -2.378 2.979
1.833 -0.157 4.509
2.094 2.616 3.534
0.000 0.000 0.000
```

Here are the calculated total energy numbers, same order: -2.502, -3.482, -8.454, -3.224, -4.638, -3.933 (eV/atom).